Here is a geometry-optimized EuUGe2 structure from the Alexandria database. Energies are from PBE.

a b c (Å): 7.1001 7.1001 7.1001
angles (deg): 35.28 35.28 35.28
Closest atoms and distances in Å follow each position.
Atoms (fractional coordinates):
Eu 0.0000 0.0000 0.0000  6 Ge 3.17
U 0.5000 0.5000 0.5000  6 Ge 2.83
Ge 0.2350 0.2350 0.2350  3 U 2.83, 3 Eu 3.17
Ge 0.7650 0.7650 0.7650  3 U 2.83, 3 Eu 3.17

Properties
crystal system	trigonal
VASP energy	-7.9088	eV/atom
total magnetic moment	7.100	μB/f.u.
DOS(E_F)	3.006	states/eV/atom

---

Here is a geometry-optimized ZnCoOs structure from the Alexandria database. Energies are from PBE.

a b c (Å): 4.6645 4.6645 4.6645
angles (deg): 146.93 134.68 57.24
Closest atoms and distances in Å follow each position.
Atoms (fractional coordinates):
Zn 0.0000 0.0000 0.0000  5 Os 2.61-2.68, 5 Co 2.63-2.70, 2 Zn 2.66
Co 0.6704 0.6704 0.0000  4 Os 2.54, 5 Zn 2.63-2.70, 2 Co 2.66
Os 0.3185 0.3185 0.0000  4 Co 2.54, 5 Zn 2.61-2.68, 2 Os 2.66

Properties
crystal system	orthorhombic
VASP energy	-6.3057	eV/atom
total magnetic moment	1.287	μB/f.u.
energy above the most stable polymorph in this dataset	186.1	meV per atom
DOS(E_F)	1.047	states/eV/atom

---

Here is a geometry-optimized La6CdAg2 structure from the Alexandria database. Energies are from PBE.

a b c (Å): 9.0967 9.0967 9.0967
angles (deg): 111.07 110.04 107.32
Closest atoms and distances in Å follow each position.
Atoms (fractional coordinates):
La 0.0465 0.8241 0.2224  3 Ag 3.12-3.34, 1 Cd 3.46
La 0.2501 0.5524 0.3022  2 Ag 3.16-3.37, 2 Cd 3.38
La 0.2501 0.9479 0.6978  2 Ag 3.16-3.37, 2 Cd 3.38
La 0.2713 0.3195 0.5908  3 Ag 3.33-3.37, 1 Cd 3.39, 1 La 3.72
La 0.2713 0.6805 0.9518  3 Ag 3.33-3.37, 1 Cd 3.39, 1 La 3.72
La 0.3982 0.1759 0.2224  3 Ag 3.12-3.34, 1 Cd 3.46
La 0.6018 0.8241 0.7776  3 Ag 3.12-3.34, 1 Cd 3.46
La 0.7287 0.3195 0.0482  3 Ag 3.33-3.37, 1 Cd 3.39, 1 La 3.72
La 0.7287 0.6805 0.4092  3 Ag 3.33-3.37, 1 Cd 3.39, 1 La 3.72
La 0.7499 0.0521 0.3022  2 Ag 3.16-3.37, 2 Cd 3.38
La 0.7499 0.4476 0.6978  2 Ag 3.16-3.37, 2 Cd 3.38
La 0.9535 0.1759 0.7776  3 Ag 3.12-3.34, 1 Cd 3.46
Cd 0.0000 0.5000 0.5000  8 La 3.38-3.39, 2 Ag 3.68
Cd 0.5000 0.0000 0.5000  8 La 3.38-3.46
Ag 0.0000 0.1426 0.1426  1 Ag 2.94, 2 La 3.16
Ag 0.0000 0.8574 0.8574  1 Ag 2.94, 2 La 3.16
Ag 0.3696 0.3696 0.0000  1 Ag 2.81, 2 La 3.12
Ag 0.6304 0.6304 0.0000  1 Ag 2.81, 2 La 3.12

Properties
crystal system	orthorhombic
VASP energy	-4.1720	eV/atom
total magnetic moment	0.000	μB/f.u.
DOS(E_F)	1.433	states/eV/atom

---

Here is a geometry-optimized RbNaMo3 structure from the Alexandria database. Energies are from PBE.

a b c (Å): 4.7796 4.7796 4.7796
angles (deg): 90.00 90.00 90.00
Closest atoms and distances in Å follow each position.
Atoms (fractional coordinates):
Rb 0.0000 0.0000 0.0000  6 Mo 2.39
Na 0.5000 0.5000 0.5000  12 Mo 3.38
Mo 0.0000 0.0000 0.5000  2 Rb 2.39
Mo 0.0000 0.5000 0.0000  2 Rb 2.39
Mo 0.5000 0.0000 0.0000  2 Rb 2.39

Properties
crystal system	cubic
VASP energy	-3.7271	eV/atom
total magnetic moment	0.000	μB/f.u.
energy above the most stable polymorph in this dataset	282.9	meV per atom
DOS(E_F)	1.228	states/eV/atom

---

Here is a geometry-optimized LaAlCd structure from the Alexandria database. Energies are from PBE.

a b c (Å): 6.9617 6.9617 6.2987
angles (deg): 116.23 116.23 36.32
Closest atoms and distances in Å follow each position.
Atoms (fractional coordinates):
La 0.0000 0.0000 0.0000  4 Al 3.18-3.34, 4 Cd 3.25-3.35
La 0.6308 0.6308 0.6343  2 Al 3.13, 2 Cd 3.22-3.32
Al 0.3374 0.3374 0.5744  2 Al 2.84, 3 Cd 3.02-3.06
Al 0.9377 0.9377 0.4483  3 Cd 2.70-3.02, 2 Al 2.84
Cd 0.3272 0.3272 0.0783  4 Al 3.02-3.24, 2 Cd 3.05, 2 La 3.35
Cd 0.7069 0.7069 0.2170  3 Al 2.70-3.02

Properties
crystal system	monoclinic
VASP energy	-3.4802	eV/atom
total magnetic moment	0.000	μB/f.u.
DOS(E_F)	0.688	states/eV/atom

---

Here is a geometry-optimized NaGaAg2Au structure from the Alexandria database. Energies are from PBE.

a b c (Å): 5.3234 5.3234 4.8053
angles (deg): 90.00 90.00 90.00
Closest atoms and distances in Å follow each position.
Atoms (fractional coordinates):
Na 0.0000 0.0000 0.0000  8 Ag 3.59, 4 Ga 3.76
Ga 0.5000 0.5000 0.0000  2 Au 2.40
Ag 0.0000 0.5000 0.5000  2 Au 2.66
Ag 0.5000 0.0000 0.5000  2 Au 2.66
Au 0.5000 0.5000 0.5000  2 Ga 2.40, 4 Ag 2.66

Properties
crystal system	tetragonal
VASP energy	-2.5362	eV/atom
total magnetic moment	0.000	μB/f.u.
DOS(E_F)	0.365	states/eV/atom

---

Here is a geometry-optimized ZnRe3Ag structure from the Alexandria database. Energies are from PBE.

a b c (Å): 4.7645 4.7645 4.7645
angles (deg): 90.00 90.00 90.00
Closest atoms and distances in Å follow each position.
Atoms (fractional coordinates):
Zn 0.0000 0.0000 0.0000  12 Re 3.37
Re 0.0000 0.5000 0.5000  2 Ag 2.38
Re 0.5000 0.0000 0.5000  2 Ag 2.38
Re 0.5000 0.5000 0.0000  2 Ag 2.38
Ag 0.5000 0.5000 0.5000  6 Re 2.38

Properties
crystal system	cubic
VASP energy	-5.1674	eV/atom
total magnetic moment	2.645	μB/f.u.
energy above the most stable polymorph in this dataset	931.0	meV per atom
DOS(E_F)	1.600	states/eV/atom

---

Here is a geometry-optimized Ho2GeAu3 structure from the Alexandria database. Energies are from PBE.

a b c (Å): 3.4616 4.5401 8.1182
angles (deg): 90.00 90.00 90.00
Closest atoms and distances in Å follow each position.
Atoms (fractional coordinates):
Ho 0.0000 0.0000 0.0000  8 Au 3.08-3.20, 4 Ge 3.20
Ho 0.0000 0.5000 0.4835  10 Au 3.11-3.26, 2 Ge 3.25, 2 Ho 3.46
Ge 0.5000 0.5000 0.8224  3 Au 2.58-2.60
Au 0.5000 0.0000 0.3321  3 Au 2.74-2.75
Au 0.5000 0.0000 0.6708  2 Ge 2.58, 1 Au 2.75
Au 0.5000 0.5000 0.1430  1 Ge 2.60, 2 Au 2.74

Properties
crystal system	orthorhombic
VASP energy	-4.7224	eV/atom
total magnetic moment	0.000	μB/f.u.
DOS(E_F)	0.192	states/eV/atom

---

- Which value of DOS(E_F) does entry 4 give?
  1.228 states/eV/atom

---

Copy entry 3 word for word.
Here is a geometry-optimized La6CdAg2 structure from the Alexandria database. Energies are from PBE.

a b c (Å): 9.0967 9.0967 9.0967
angles (deg): 111.07 110.04 107.32
Closest atoms and distances in Å follow each position.
Atoms (fractional coordinates):
La 0.0465 0.8241 0.2224  3 Ag 3.12-3.34, 1 Cd 3.46
La 0.2501 0.5524 0.3022  2 Ag 3.16-3.37, 2 Cd 3.38
La 0.2501 0.9479 0.6978  2 Ag 3.16-3.37, 2 Cd 3.38
La 0.2713 0.3195 0.5908  3 Ag 3.33-3.37, 1 Cd 3.39, 1 La 3.72
La 0.2713 0.6805 0.9518  3 Ag 3.33-3.37, 1 Cd 3.39, 1 La 3.72
La 0.3982 0.1759 0.2224  3 Ag 3.12-3.34, 1 Cd 3.46
La 0.6018 0.8241 0.7776  3 Ag 3.12-3.34, 1 Cd 3.46
La 0.7287 0.3195 0.0482  3 Ag 3.33-3.37, 1 Cd 3.39, 1 La 3.72
La 0.7287 0.6805 0.4092  3 Ag 3.33-3.37, 1 Cd 3.39, 1 La 3.72
La 0.7499 0.0521 0.3022  2 Ag 3.16-3.37, 2 Cd 3.38
La 0.7499 0.4476 0.6978  2 Ag 3.16-3.37, 2 Cd 3.38
La 0.9535 0.1759 0.7776  3 Ag 3.12-3.34, 1 Cd 3.46
Cd 0.0000 0.5000 0.5000  8 La 3.38-3.39, 2 Ag 3.68
Cd 0.5000 0.0000 0.5000  8 La 3.38-3.46
Ag 0.0000 0.1426 0.1426  1 Ag 2.94, 2 La 3.16
Ag 0.0000 0.8574 0.8574  1 Ag 2.94, 2 La 3.16
Ag 0.3696 0.3696 0.0000  1 Ag 2.81, 2 La 3.12
Ag 0.6304 0.6304 0.0000  1 Ag 2.81, 2 La 3.12

Properties
crystal system	orthorhombic
VASP energy	-4.1720	eV/atom
total magnetic moment	0.000	μB/f.u.
DOS(E_F)	1.433	states/eV/atom